Density functional theory data (GGA-PBE) for an optimized crystal structure of LaHo2ErTe6.

abc: 7.789 7.789 8.343
angles: 62.18 62.18 60.00
Fractional positions:
La1 0.817 0.817 0.549
Ho1 0.511 0.511 0.467
Ho2 0.008 0.008 0.977
Er1 0.322 0.322 0.033
Te1 0.603 0.237 0.245
Te2 0.237 0.915 0.245
Te3 0.915 0.603 0.245
Te4 0.392 0.731 0.751
Te5 0.731 0.126 0.751
Te6 0.126 0.392 0.751

* symmetry: R3 (146)
* total DFT energy (no corrections): -5.1359 eV/atom
* formation energy (no corrections): -1.39 eV per atom
* magnetic moment: 0.0 μB/f.u.